The following is a PBE-GGA calculation of a relaxed structure of Pm3SmHg3, from Alexandria.

Values from the calculation:
Spin magnetization ... 2.2 Bohr magnetons per cell
Crystal system ... orthorhombic
Formation energy from the elements ... -311 meV/atom
Total DFT energy (no corrections) ... -3.150 eV/atom
Volume ... 29.95 Å³/atom

a b c (Å): 7.6028 7.6029 7.2542
angles (deg): 90.00 90.00 89.71
Atoms (fractional coordinates):
Pm 0.7438 0.7438 0.5001
Hg 0.0002 0.0002 0.7514
Pm 0.2562 0.2562 0.4999
Pm 0.7416 0.2584 0.5000
Hg 0.5000 0.9999 0.2489
Pm 0.2584 0.7416 0.5000
Hg 0.0001 0.5000 0.7511
Pm 0.2589 0.7411 0.0000
Pm 0.7411 0.2589 0.0000
Hg 0.9999 0.5000 0.2489
Sm 0.2558 0.2558 0.0001
Hg 0.5000 0.0001 0.7511
Sm 0.7442 0.7442 0.9999
Hg 0.9998 0.9998 0.2486